# 1
TbSi2NiRh2 (PBE, relaxed); space group = P4/mmm; formation energy from raw total energies = -521 meV per atom
1.0
-2.587 2.239 2.560
-3.202 -0.517 -2.782
-1.468 -4.607 2.546
Tb Si Ni Rh
1 2 1 2
Direct
0.000 0.000 0.500
0.500 0.000 0.000
0.000 0.500 0.000
0.000 0.000 0.000
0.500 0.500 0.747
0.500 0.500 0.253


# 2
ZnOsCl2 (PBE, relaxed); excess energy over the best structure of this formula in the dataset = 1.012 eV per atom; space group = P4/mmm; formation energy from raw total energies = 1003 meV per atom
1.0
-1.318 -0.884 4.324
1.121 -4.432 -0.565
2.814 0.587 0.978
Zn Os Cl
1 1 2
Direct
0.000 0.500 0.500
0.500 0.000 0.500
0.000 0.000 0.000
0.500 0.500 0.000


# 3
Ce2YHg5 (PBE, relaxed); space group = I4/mmm; ΔE_f = -0.34 eV/atom
1.0
5.091 0.000 0.000
0.000 5.091 0.000
-2.546 -2.546 7.944
Ce Y Hg
2 1 5
Direct
0.737 0.737 0.475
0.263 0.263 0.525
0.000 0.000 0.000
0.500 0.500 0.000
0.881 0.381 0.762
0.381 0.881 0.762
0.119 0.619 0.238
0.619 0.119 0.238


# 4
Pm2Sm7Dy (PBE, relaxed); space group = Cmmm; ΔE_f = 0.16 eV/atom
1.0
-2.756 1.295 -1.712
-8.825 -10.283 6.427
6.799 13.340 -0.852
Pm Sm Dy
2 7 1
Direct
0.500 0.705 0.295
0.500 0.295 0.705
0.000 0.812 0.188
0.000 0.188 0.812
0.500 0.147 0.343
0.500 0.853 0.657
0.500 0.343 0.147
0.500 0.657 0.853
0.500 0.500 0.500
0.000 0.000 0.000


# 5
Na3PC2N6 (PBE, relaxed); space group = P-3m1; formation energy from raw total energies = 212 meV per atom
1.0
-3.458 -0.533 3.378
1.762 -3.898 -2.313
4.275 -0.607 4.281
Na P C N
3 1 2 6
Direct
0.333 0.667 0.776
0.667 0.333 0.224
0.000 0.000 0.000
0.000 0.000 0.500
0.667 0.333 0.664
0.333 0.667 0.336
0.655 0.828 0.316
0.172 0.345 0.316
0.172 0.828 0.316
0.828 0.655 0.684
0.345 0.172 0.684
0.828 0.172 0.684


# 6
BaHgSe (PBE, relaxed); excess energy over the best structure of this formula in the dataset = 0.051 eV per atom; space group = F-43m; formation energy from raw total energies = -1073 meV per atom
1.0
5.468 0.000 0.000
2.734 4.735 0.000
2.734 1.578 4.464
Ba Hg Se
1 1 1
Direct
0.000 0.000 0.000
0.500 0.500 0.500
0.750 0.750 0.750


# 7
La2Ru (PBE, relaxed); space group = Pa-3; ΔE_f = -0.24 eV/atom
1.0
7.101 0.000 0.000
0.000 7.101 0.000
0.000 0.000 7.101
La Ru
8 4
Direct
0.166 0.666 0.834
0.166 0.834 0.334
0.334 0.166 0.834
0.334 0.334 0.334
0.666 0.666 0.666
0.666 0.834 0.166
0.834 0.166 0.666
0.834 0.334 0.166
0.000 0.000 0.000
0.000 0.500 0.500
0.500 0.000 0.500
0.500 0.500 0.000


# 8
Ag14Sn2Se9 (PBE, relaxed); space group = P-1; formation energy from raw total energies = -73 meV per atom
1.0
8.778 -0.553 -0.023
-4.895 7.013 -0.202
-0.066 -0.345 10.215
Ag Sn Se
14 2 9
Direct
0.058 0.718 0.963
0.176 0.016 0.563
0.987 0.370 0.592
0.027 0.907 0.246
0.973 0.093 0.754
0.319 0.402 0.919
0.630 0.852 0.907
0.299 0.317 0.357
0.701 0.683 0.643
0.370 0.148 0.093
0.681 0.598 0.081
0.013 0.630 0.408
0.824 0.984 0.437
0.942 0.282 0.037
0.390 0.720 0.313
0.610 0.280 0.687
0.371 0.040 0.344
0.003 0.325 0.310
0.323 0.684 0.045
0.000 0.000 0.000
0.308 0.387 0.653
0.692 0.613 0.347
0.677 0.316 0.955
0.997 0.675 0.690
0.629 0.960 0.656


# 9
KPdNO2 (PBE, relaxed); space group = P4/mmm; formation energy from raw total energies = 2038 meV per atom
1.0
-1.996 3.044 2.706
-3.764 -0.226 -2.521
-1.700 -3.662 2.866
K O Pd N
1 2 1 1
Direct
0.000 0.000 0.000
0.000 0.500 0.000
0.500 0.000 0.000
0.500 0.500 0.500
0.000 0.000 0.500


# 10
Ba8Tl2P (PBE, relaxed); space group = C2/m; ΔE_f = -0.35 eV/atom
1.0
-3.060 -0.989 -3.255
4.722 -10.388 -1.283
-5.550 -3.154 9.392
Ba Tl P
8 2 1
Direct
0.599 0.535 0.197
0.355 0.013 0.710
0.225 0.317 0.451
0.991 0.809 0.983
0.775 0.683 0.549
0.645 0.987 0.290
0.401 0.465 0.803
0.009 0.191 0.017
0.160 0.747 0.319
0.840 0.253 0.681
0.500 0.000 0.000